Record 1
Density functional theory data (PBE-GGA) for a relaxed CeLuTlOs crystal.

Computed properties:
**Formation enthalpy at 0 K**: -1.924 kcal/mol of atoms

a = 5.0838 Å, b = 5.0838 Å, c = 5.0838 Å
α = 60.00°, β = 60.00°, γ = 60.00°
Last column: nearest neighbours and their distance in Å.
Element x y z (fractional)
Ce 0.0000 0.0000 0.0000  4 Tl 3.11, 4 Os 3.11
Lu 0.5000 0.5000 0.5000  4 Tl 3.11, 4 Os 3.11
Tl 0.7500 0.7500 0.7500  4 Ce 3.11, 4 Lu 3.11
Os 0.2500 0.2500 0.2500  4 Ce 3.11, 4 Lu 3.11


Record 2
Density functional theory data (PBE-GGA) for a relaxed CeLuZnOs crystal.

Computed properties:
**Formation enthalpy at 0 K**: -6.282 kcal/mol of atoms

a = 4.8979 Å, b = 4.8979 Å, c = 4.8979 Å
α = 60.00°, β = 60.00°, γ = 60.00°
Last column: nearest neighbours and their distance in Å.
Element x y z (fractional)
Ce 0.0000 0.0000 0.0000  4 Os 3.00, 4 Zn 3.00
Lu 0.5000 0.5000 0.5000  4 Os 3.00, 4 Zn 3.00
Zn 0.2500 0.2500 0.2500  4 Lu 3.00, 4 Ce 3.00
Os 0.7500 0.7500 0.7500  4 Lu 3.00, 4 Ce 3.00


Results for DOS at the Fermi energy: 4.99 2.52 (in states/eV/cell, following the order of the records).
Results for magnetization: 0.107 0.000 (in μB per atom, following the order of the records).